Entry from Alexandria via LeMat-Bulk: an optimized crystal structure of PrCdGa2Cu (PBE).

Lattice parameters (Å, degrees): 4.3227 4.3227 6.2693 110.17 110.17 90.00
Closest atoms and distances in Å follow each position.
Sites, in units of the cell vectors:
Cu  0.7500  0.2500  0.5000  4 Ga 2.63
Cd  0.2500  0.7500  0.5000  4 Ga 2.63
Ga  0.3874  0.3874  0.7749  1 Ga 2.46, 2 Cu 2.63, 2 Cd 2.63
Ga  0.6126  0.6126  0.2251  1 Ga 2.46, 2 Cd 2.63, 2 Cu 2.63
Pr  0.0000  0.0000  0.0000  8 Ga 3.30, 4 Cd 3.49, 4 Cu 3.49

As for the total moment: 0.00 μB/cell. As for the formation energy: -384 meV/atom. As for the electronic total energy: -17.763 eV per cell.